1.
A plane-wave DFT calculation with PBE-GGA was carried out for a geometry-optimized TmMg2AlPt4 structure.

Cell and atoms, written as POSCAR:
```
TmMg2AlPt4
1.0
2.2664 1.3085 7.5928
-2.2664 1.3085 7.5928
0.0000 -2.6170 7.5928
Tm Mg Al Pt
1 2 1 4
direct
0.0000 0.0000 0.0000
0.2483 0.2483 0.2483
0.7517 0.7517 0.7517
0.5000 0.5000 0.5000
0.1299 0.1299 0.1299
0.3886 0.3886 0.3886
0.6114 0.6114 0.6114
0.8701 0.8701 0.8701
```

Crystal system = trigonal
Total magnetic moment = 0.00 μB per cell
Energy of formation from the pure elements = -1.00 eV/atom
D(E_F) = 0.4345 states/eV per atom

---

2.
A plane-wave DFT calculation with PBE-GGA was carried out for a geometry-optimized TmMgAl2Pt2 structure.

Cell and atoms, written as POSCAR:
```
TmMgAl2Pt2
1.0
4.4076 0.0000 0.0000
-2.2038 3.8171 0.0000
0.0000 0.0000 6.4297
Tm Mg Al Pt
1 1 2 2
direct
0.0000 0.0000 0.0000
0.0000 0.0000 0.5000
0.3333 0.6667 0.7002
0.6667 0.3333 0.2998
0.3333 0.6667 0.2727
0.6667 0.3333 0.7273
```

Crystal system = trigonal
Total magnetic moment = 0.00 μB per cell
Energy of formation from the pure elements = -0.99 eV/atom
D(E_F) = 0.3837 states/eV per atom

---

3.
A plane-wave DFT calculation with PBE-GGA was carried out for a geometry-optimized MgUAl2Pt4 structure.

Cell and atoms, written as POSCAR:
```
MgUAl2Pt4
1.0
2.1567 1.2452 8.4890
-2.1567 1.2452 8.4890
0.0000 -2.4904 8.4890
Mg U Al Pt
1 1 2 4
direct
0.0000 0.0000 0.0000
0.5000 0.5000 0.5000
0.2604 0.2604 0.2604
0.7396 0.7396 0.7396
0.1042 0.1042 0.1042
0.3700 0.3700 0.3700
0.6300 0.6300 0.6300
0.8958 0.8958 0.8958
```

Crystal system = trigonal
Total magnetic moment = 1.72 μB per cell
Energy of formation from the pure elements = -0.87 eV/atom
D(E_F) = 0.6221 states/eV per atom

---

4.
A plane-wave DFT calculation with PBE-GGA was carried out for a geometry-optimized Y2MgAl2Pt5 structure.

Cell and atoms, written as POSCAR:
```
Y2MgAl2Pt5
1.0
9.8460 0.0000 0.0000
0.0000 9.8460 0.0000
0.0000 0.0000 3.7052
Y Mg Al Pt
4 2 4 10
direct
0.1766 0.3234 0.0000
0.3234 0.8234 0.0000
0.6766 0.1766 0.0000
0.8234 0.6766 0.0000
0.0000 0.0000 0.0000
0.5000 0.5000 0.0000
0.1220 0.6220 0.0000
0.3780 0.1220 0.0000
0.6220 0.8780 0.0000
0.8780 0.3780 0.0000
0.0000 0.5000 0.5000
0.0663 0.7906 0.5000
0.2094 0.0663 0.5000
0.2906 0.5663 0.5000
0.4337 0.2906 0.5000
0.5000 0.0000 0.5000
0.5663 0.7094 0.5000
0.7094 0.4337 0.5000
0.7906 0.9337 0.5000
0.9337 0.2094 0.5000
```

Crystal system = tetragonal
Total magnetic moment = 0.00 μB per cell
Energy of formation from the pure elements = -1.01 eV/atom
D(E_F) = 0.3564 states/eV per atom

---

5.
A plane-wave DFT calculation with PBE-GGA was carried out for a geometry-optimized Y2MgAl3Pt4 structure.

Cell and atoms, written as POSCAR:
```
Y2MgAl3Pt4
1.0
4.1099 0.0000 0.0000
0.0000 4.1099 0.0000
0.0000 0.0000 11.1533
Y Mg Al Pt
2 1 3 4
direct
0.0000 0.5000 0.2457
0.5000 0.0000 0.7543
0.0000 0.0000 0.5000
0.0000 0.5000 0.8707
0.5000 0.0000 0.1293
0.5000 0.5000 0.5000
0.0000 0.0000 0.0000
0.0000 0.5000 0.6480
0.5000 0.0000 0.3520
0.5000 0.5000 0.0000
```

Crystal system = tetragonal
Total magnetic moment = 0.00 μB per cell
Energy of formation from the pure elements = -1.05 eV/atom
D(E_F) = 0.7066 states/eV per atom

---

6.
A plane-wave DFT calculation with PBE-GGA was carried out for a geometry-optimized YMgAl2Pt2 structure.

Cell and atoms, written as POSCAR:
```
YMgAl2Pt2
1.0
4.4130 0.0000 0.0000
-2.2065 3.8218 0.0000
0.0000 0.0000 6.5612
Y Mg Al Pt
1 1 2 2
direct
0.0000 0.0000 0.0000
0.0000 0.0000 0.5000
0.3333 0.6667 0.6950
0.6667 0.3333 0.3050
0.3333 0.6667 0.2799
0.6667 0.3333 0.7201
```

Crystal system = trigonal
Total magnetic moment = 0.00 μB per cell
Energy of formation from the pure elements = -0.99 eV/atom
D(E_F) = 0.4193 states/eV per atom